Below is a relaxed KAs2PbO6 crystal, with properties calculated at the PBE-GGA level.

The uncorrected formation energy comes out at -1.290 eV per atom. The calculated total energy is -5.675 eV/atom. The density of states at the Fermi level is 0.308 states/eV/atom.

The structure in POSCAR format:
```
KAs2PbO6
1.0
7.613 0.617 0.489
-0.320 7.631 0.489
-1.500 -1.697 5.830
As K O Pb
4 2 12 2
Cartesian
4.739 6.653 2.179
0.521 1.882 1.714
5.272 4.670 5.094
1.054 -0.101 4.629
0.820 5.867 1.947
4.973 0.684 4.862
0.287 0.556 3.051
2.135 1.097 5.261
4.215 3.450 4.463
-0.233 -0.496 5.967
-0.825 3.401 5.056
1.567 6.105 4.667
6.618 3.151 1.752
1.578 3.101 2.345
3.658 5.454 1.548
4.226 0.446 2.141
6.026 7.047 0.842
5.506 5.995 3.757
4.163 2.912 1.947
1.630 3.640 4.862
```

Below is a relaxed CeDy2Tl7 crystal, with properties calculated at the PBE-GGA level.

The calculated total energy is -3.051 eV/atom. The value obtained for the energy of formation from the pure elements is 0.12 eV per atom. The density of states at the Fermi level is 1.386 states/eV/atom.

The structure in POSCAR format:
```
CeDy2Tl7
1.0
-0.398 -3.249 3.848
-4.981 -4.870 -4.627
8.882 -1.540 -0.383
Tl Ce Dy
7 1 2
Cartesian
0.210 -3.408 0.460
-2.858 -6.409 -2.391
6.362 -3.250 1.229
-0.977 -3.377 -2.952
4.878 -3.034 -2.058
3.293 -6.251 -1.622
-2.689 -4.059 -0.390
0.000 0.000 0.000
3.278 -3.786 0.457
0.226 -5.872 -1.619
```

Below is a relaxed Nd6Ho12Er crystal, with properties calculated at the PBE-GGA level.

The calculated total energy is -4.511 eV/atom. The value obtained for the energy of formation from the pure elements is 0.13 eV per atom. The density of states at the Fermi level is 1.531 states/eV/atom. The polymorph energy (0 for the lowest one) comes out at 0.000 eV/atom.

The structure in POSCAR format:
```
Nd6Ho12Er
1.0
-2.748 -4.793 6.682
5.276 -6.845 -0.701
5.984 2.012 5.944
Ho Nd Er
12 6 1
Cartesian
5.255 -9.010 8.216
3.256 -0.617 3.709
2.468 -5.583 4.236
5.245 -3.421 3.999
0.207 -2.993 3.968
6.044 -4.043 7.689
3.008 -3.710 1.389
5.503 -5.917 10.536
5.817 -6.860 5.578
8.305 -6.634 7.957
3.267 -6.205 7.926
2.695 -2.767 6.347
5.167 -6.377 2.350
5.597 -1.023 6.365
2.914 -8.603 5.560
8.193 -4.492 5.112
0.319 -5.135 6.813
3.345 -3.249 9.575
0.000 0.000 0.000
```

- The highest calculated total energy belongs to which entry?
  CeDy2Tl7

- Which of these has the highest density of states at the Fermi level?
  Nd6Ho12Er

- Among the records above, which one has the highest density of states at the Fermi level?
  Nd6Ho12Er

Repeat the third record exactly.
Below is a relaxed Nd6Ho12Er crystal, with properties calculated at the PBE-GGA level.

The calculated total energy is -4.511 eV/atom. The value obtained for the energy of formation from the pure elements is 0.13 eV per atom. The density of states at the Fermi level is 1.531 states/eV/atom. The polymorph energy (0 for the lowest one) comes out at 0.000 eV/atom.

The structure in POSCAR format:
```
Nd6Ho12Er
1.0
-2.748 -4.793 6.682
5.276 -6.845 -0.701
5.984 2.012 5.944
Ho Nd Er
12 6 1
Cartesian
5.255 -9.010 8.216
3.256 -0.617 3.709
2.468 -5.583 4.236
5.245 -3.421 3.999
0.207 -2.993 3.968
6.044 -4.043 7.689
3.008 -3.710 1.389
5.503 -5.917 10.536
5.817 -6.860 5.578
8.305 -6.634 7.957
3.267 -6.205 7.926
2.695 -2.767 6.347
5.167 -6.377 2.350
5.597 -1.023 6.365
2.914 -8.603 5.560
8.193 -4.492 5.112
0.319 -5.135 6.813
3.345 -3.249 9.575
0.000 0.000 0.000
```